1.
LaAlGa2Cu (GGA-PBE, relaxed); total magnetic moment = 0.00 μB per formula unit; space-group type = No. 119
1.0
-2.121 2.121 5.353
2.121 -2.121 5.353
2.121 2.121 -5.353
La Al Ga Cu
1 1 2 1
direct
0.000 0.000 0.000 La
0.250 0.750 0.500 Al
0.383 0.383 0.000 Ga
0.617 0.617 0.000 Ga
0.750 0.250 0.500 Cu

2.
LaAlGaCu2 (GGA-PBE, relaxed); total magnetic moment = 0.01 μB per formula unit; space-group type = No. 129
1.0
4.337 0.000 0.000
0.000 4.337 0.000
0.000 0.000 9.984
La Al Ga Cu
2 2 2 4
direct
0.250 0.250 0.250 La
0.750 0.750 0.750 La
0.250 0.250 0.622 Al
0.750 0.750 0.378 Al
0.250 0.750 0.000 Ga
0.750 0.250 0.000 Ga
0.250 0.250 0.869 Cu
0.250 0.750 0.500 Cu
0.750 0.250 0.500 Cu
0.750 0.750 0.131 Cu

3.
LiAlGaCu (GGA-PBE, relaxed); ΔE to the lowest computed polymorph = 0.000 eV/atom; space-group type = No. 216
1.0
0.000 3.016 3.016
3.016 0.000 3.016
3.016 3.016 0.000
Li Al Ga Cu
1 1 1 1
direct
0.000 0.000 0.000 Li
0.750 0.750 0.750 Al
0.250 0.250 0.250 Ga
0.500 0.500 0.500 Cu

4.
Li4AlGa2Cu (GGA-PBE, relaxed); space-group type = No. 115
1.0
4.280 0.000 0.000
0.000 4.280 0.000
0.000 0.000 6.129
Li Al Ga Cu
4 1 2 1
direct
0.000 0.000 0.000 Li
0.000 0.500 0.734 Li
0.500 0.000 0.266 Li
0.500 0.500 0.500 Li
0.500 0.500 0.000 Al
0.000 0.500 0.263 Ga
0.500 0.000 0.737 Ga
0.000 0.000 0.500 Cu

5.
Li4AlGaCu2 (GGA-PBE, relaxed); space-group type = No. 115
1.0
4.236 0.000 0.000
0.000 4.236 0.000
0.000 0.000 5.991
Li Al Ga Cu
4 1 1 2
direct
0.000 0.000 0.000 Li
0.000 0.500 0.249 Li
0.500 0.000 0.751 Li
0.500 0.500 0.500 Li
0.000 0.000 0.500 Al
0.500 0.500 0.000 Ga
0.000 0.500 0.750 Cu
0.500 0.000 0.250 Cu

6.
Li2Mg2AlGaCu2 (GGA-PBE, relaxed); space-group type = No. 115
1.0
4.377 0.000 0.000
0.000 4.377 0.000
0.000 0.000 6.165
Li Mg Al Ga Cu
2 2 1 1 2
direct
0.000 0.500 0.247 Li
0.500 0.000 0.753 Li
0.000 0.000 0.500 Mg
0.500 0.500 0.000 Mg
0.500 0.500 0.500 Al
0.000 0.000 0.000 Ga
0.000 0.500 0.747 Cu
0.500 0.000 0.253 Cu

7.
Li2Sc2AlGaCu2 (GGA-PBE, relaxed); total magnetic moment = 0.00 μB per formula unit; space-group type = No. 115
1.0
4.390 0.000 0.000
0.000 4.390 0.000
0.000 0.000 6.210
Li Sc Al Ga Cu
2 2 1 1 2
direct
0.000 0.500 0.247 Li
0.500 0.000 0.753 Li
0.000 0.000 0.500 Sc
0.500 0.500 0.000 Sc
0.500 0.500 0.500 Al
0.000 0.000 0.000 Ga
0.000 0.500 0.747 Cu
0.500 0.000 0.253 Cu

8.
Li2Zr2AlGaCu2 (GGA-PBE, relaxed); total magnetic moment = 0.00 μB per formula unit; space-group type = No. 115
1.0
4.401 0.000 0.000
0.000 4.401 0.000
0.000 0.000 6.226
Li Zr Al Ga Cu
2 2 1 1 2
direct
0.000 0.500 0.248 Li
0.500 0.000 0.752 Li
0.000 0.000 0.000 Zr
0.500 0.500 0.500 Zr
0.000 0.000 0.500 Al
0.500 0.500 0.000 Ga
0.000 0.500 0.748 Cu
0.500 0.000 0.252 Cu

9.
Na4AlGa2Cu (GGA-PBE, relaxed); space-group type = No. 115
1.0
4.782 0.000 0.000
0.000 4.782 0.000
0.000 0.000 6.876
Na Al Ga Cu
4 1 2 1
direct
0.000 0.000 0.000 Na
0.000 0.500 0.735 Na
0.500 0.000 0.265 Na
0.500 0.500 0.500 Na
0.500 0.500 0.000 Al
0.000 0.500 0.251 Ga
0.500 0.000 0.749 Ga
0.000 0.000 0.500 Cu

10.
Na4Al2GaCu (GGA-PBE, relaxed); space-group type = No. 115
1.0
4.804 0.000 0.000
0.000 4.804 0.000
0.000 0.000 6.890
Na Al Ga Cu
4 2 1 1
direct
0.000 0.000 0.000 Na
0.000 0.500 0.743 Na
0.500 0.000 0.257 Na
0.500 0.500 0.500 Na
0.000 0.500 0.255 Al
0.500 0.000 0.745 Al
0.500 0.500 0.000 Ga
0.000 0.000 0.500 Cu

11.
NdAl2GaCu2 (GGA-PBE, relaxed); total magnetic moment = 0.00 μB per formula unit; space-group type = No. 65
1.0
2.691 -4.705 0.000
2.691 4.705 0.000
0.000 0.000 4.097
Nd Al Ga Cu
1 2 1 2
direct
0.000 0.000 0.000 Nd
0.000 0.500 0.500 Al
0.500 0.000 0.500 Al
0.500 0.500 0.500 Ga
0.330 0.670 0.000 Cu
0.670 0.330 0.000 Cu

12.
Pr3AlGaCu4 (GGA-PBE, relaxed); total magnetic moment = 0.04 μB per formula unit; space-group type = No. 8
1.0
5.238 -2.130 0.000
5.238 2.130 0.000
-1.351 0.000 8.360
Pr Al Ga Cu
3 1 1 4
direct
0.000 0.000 0.000 Pr
0.251 0.251 0.753 Pr
0.624 0.624 0.375 Pr
0.945 0.945 0.596 Al
0.305 0.305 0.149 Ga
0.356 0.356 0.451 Cu
0.542 0.542 0.733 Cu
0.706 0.706 0.015 Cu
0.892 0.892 0.298 Cu

13.
PrAlGaCu2 (GGA-PBE, relaxed); total magnetic moment = 0.01 μB per formula unit; space-group type = No. 129
1.0
4.230 0.000 0.000
0.000 4.230 0.000
0.000 0.000 10.128
Pr Al Ga Cu
2 2 2 4
direct
0.250 0.250 0.241 Pr
0.750 0.750 0.759 Pr
0.250 0.750 0.500 Al
0.750 0.250 0.500 Al
0.250 0.250 0.872 Ga
0.750 0.750 0.128 Ga
0.250 0.250 0.631 Cu
0.250 0.750 0.000 Cu
0.750 0.250 0.000 Cu
0.750 0.750 0.369 Cu

Across the entries above, E_tot takes the values -21.064 -42.315 -13.132 -23.442 -23.619 -22.874 -33.747 -37.096 -18.222 -18.507 -25.385 -38.801 -42.284 eV per cell, respectively.